An optimized crystal structure of MnO, computed with GGA+U.

Summary:
- Crystal system: monoclinic
- VASP energy: -7.490 eV per atom

Cell lengths 3.4629, 3.4629, 4.3349 Å; angles 90.15, 89.85, 119.99 degrees
Closest atoms and distances in Å follow each position.
Atoms (fractional coordinates):
Mn (0.6668, 0.3332, 0.0570)  3 O 2.00
O (0.3335, 0.6665, 0.0566)  3 Mn 2.00